1.
Compound: Ag2RuW
Source: the Alexandria database
Functional: PBE
Structure: optimized geometry

Unit cell a=2.7234 b=2.7234 c=9.9137 alpha=90.00 beta=90.00 gamma=116.26
Element x y z (fractional)
Ag: 0.0000 0.0000 0.2465
Ag: 0.0000 0.0000 0.7535
Ru: 0.5000 0.5000 0.0000
W: 0.5000 0.5000 0.5000

Output
* density of states at the Fermi level: 0.87 states/eV/atom
* final energy: -6.33 eV per atom

2.
Compound: AgRu2W
Source: the Alexandria database
Functional: PBE
Structure: optimized geometry

Unit cell a=2.7344 b=2.7344 c=8.2541 alpha=90.00 beta=90.00 gamma=90.00
Element x y z (fractional)
Ag: 0.0000 0.0000 0.0000
Ru: 0.0000 0.0000 0.4757
Ru: 0.5000 0.5000 0.2668
W: 0.5000 0.5000 0.7316

Output
* density of states at the Fermi level: 0.86 states/eV/atom
* final energy: -8.22 eV per atom

3.
Compound: AgRuW2
Source: the Alexandria database
Functional: PBE
Structure: optimized geometry

Unit cell a=9.6819 b=9.6819 c=9.6819 alpha=16.57 beta=16.57 gamma=16.57
Element x y z (fractional)
Ag: 0.0000 0.0000 0.0000
Ru: 0.2469 0.2469 0.2469
W: 0.5061 0.5061 0.5061
W: 0.7536 0.7536 0.7536

Output
* density of states at the Fermi level: 0.27 states/eV/atom
* final energy: -9.17 eV per atom

4.
Compound: AgRu4W
Source: the Alexandria database
Functional: PBE
Structure: optimized geometry

Unit cell a=5.0785 b=5.0785 c=5.0785 alpha=60.00 beta=60.00 gamma=60.00
Element x y z (fractional)
Ag: 0.0000 0.0000 0.0000
Ru: 0.1248 0.6251 0.6251
Ru: 0.6251 0.1248 0.6251
Ru: 0.6251 0.6251 0.1248
Ru: 0.6251 0.6251 0.6251
W: 0.2500 0.2500 0.2500

Output
* density of states at the Fermi level: 1.34 states/eV/atom
* final energy: -8.31 eV per atom

5.
Compound: Ag2RuW
Source: the Alexandria database
Functional: PBE
Structure: optimized geometry

Unit cell a=5.8570 b=5.8570 c=5.8570 alpha=101.06 beta=101.06 gamma=128.04
Element x y z (fractional)
Ag: 0.1238 0.6250 0.9988
Ag: 0.3750 0.3738 0.4988
Ag: 0.6262 0.1250 0.0012
Ag: 0.8750 0.8762 0.5012
Ru: 0.0000 0.0000 0.0000
Ru: 0.7500 0.2500 0.5000
W: 0.2500 0.7500 0.5000
W: 0.5000 0.5000 0.0000

Output
* density of states at the Fermi level: 1.30 states/eV/atom
* final energy: -5.71 eV per atom

6.
Compound: Ag2RuW
Source: the Alexandria database
Functional: PBE
Structure: optimized geometry

Unit cell a=4.5093 b=4.5093 c=4.5093 alpha=60.00 beta=60.00 gamma=60.00
Element x y z (fractional)
Ag: 0.0000 0.0000 0.0000
Ag: 0.2500 0.2500 0.2500
Ru: 0.5000 0.5000 0.5000
W: 0.7500 0.7500 0.7500

Output
* density of states at the Fermi level: 1.08 states/eV/atom
* final energy: -6.30 eV per atom

7.
Compound: Ag2RuW
Source: the Alexandria database
Functional: PBE
Structure: optimized geometry

Unit cell a=2.8638 b=3.8682 c=5.9679 alpha=90.00 beta=91.32 gamma=90.00
Element x y z (fractional)
Ag: 0.0000 0.0000 0.0000
Ag: 0.4861 0.5000 0.7556
Ru: 0.5268 0.5000 0.2851
W: 0.9562 0.0000 0.4707

Output
* density of states at the Fermi level: 0.89 states/eV/atom
* final energy: -6.57 eV per atom

8.
Compound: AgRu2W
Source: the Alexandria database
Functional: PBE
Structure: optimized geometry

Unit cell a=4.8954 b=4.8954 c=4.7846 alpha=100.07 beta=100.07 gamma=32.90
Element x y z (fractional)
Ag: 0.0000 0.0000 0.0000
Ru: 0.4895 0.4895 0.4952
Ru: 0.7590 0.7590 0.2580
W: 0.2403 0.2403 0.7240

Output
* density of states at the Fermi level: 0.95 states/eV/atom
* final energy: -8.19 eV per atom

9.
Compound: AgRuW2
Source: the Alexandria database
Functional: PBE
Structure: optimized geometry

Unit cell a=5.3981 b=5.3981 c=5.3981 alpha=147.68 beta=128.81 gamma=61.85
Element x y z (fractional)
Ag: 0.0000 0.0000 0.0000
Ru: 0.2647 0.7647 0.5000
W: 0.4912 0.4912 0.0000
W: 0.7255 0.2255 0.5000

Output
* density of states at the Fermi level: 0.92 states/eV/atom
* final energy: -8.95 eV per atom

10.
Compound: Ag3RuW
Source: the Alexandria database
Functional: PBE
Structure: optimized geometry

Unit cell a=4.9954 b=4.9954 c=4.9954 alpha=90.00 beta=90.00 gamma=90.00
Element x y z (fractional)
Ag: 0.0000 0.0000 0.5000
Ag: 0.0000 0.5000 0.0000
Ag: 0.5000 0.0000 0.0000
Ru: 0.5000 0.5000 0.5000
W: 0.0000 0.0000 0.0000

Output
* density of states at the Fermi level: 0.90 states/eV/atom
* final energy: -3.86 eV per atom

11.
Compound: AgRu2W
Source: the Alexandria database
Functional: PBE
Structure: optimized geometry

Unit cell a=4.9180 b=4.9180 c=4.9180 alpha=133.98 beta=133.98 gamma=67.12
Element x y z (fractional)
Ag: 0.0000 0.0000 0.0000
Ru: 0.5000 0.5000 0.0000
Ru: 0.7500 0.2500 0.5000
W: 0.2500 0.7500 0.5000

Output
* density of states at the Fermi level: 1.39 states/eV/atom
* final energy: -8.13 eV per atom

12.
Compound: AgRuW2
Source: the Alexandria database
Functional: PBE
Structure: optimized geometry

Unit cell a=2.8270 b=3.9424 c=5.7477 alpha=90.00 beta=90.00 gamma=90.00
Element x y z (fractional)
Ag: 0.0000 0.0000 0.0000
Ru: 0.5000 0.5000 0.2762
W: 0.0000 0.0000 0.4829
W: 0.5000 0.5000 0.7327

Output
* density of states at the Fermi level: 0.77 states/eV/atom
* final energy: -9.09 eV per atom

13.
Compound: AgRu2W
Source: the Alexandria database
Functional: PBE
Structure: optimized geometry

Unit cell a=9.4337 b=9.4337 c=9.4337 alpha=16.89 beta=16.89 gamma=16.89
Element x y z (fractional)
Ag: 0.0000 0.0000 0.0000
Ru: 0.4967 0.4967 0.4967
Ru: 0.7542 0.7542 0.7542
W: 0.2430 0.2430 0.2430

Output
* density of states at the Fermi level: 1.11 states/eV/atom
* final energy: -8.24 eV per atom

14.
Compound: AgRu2W
Source: the Alexandria database
Functional: PBE
Structure: optimized geometry

Unit cell a=4.4409 b=4.4409 c=4.4409 alpha=60.00 beta=60.00 gamma=60.00
Element x y z (fractional)
Ag: 0.0000 0.0000 0.0000
Ru: 0.5000 0.5000 0.5000
Ru: 0.7500 0.7500 0.7500
W: 0.2500 0.2500 0.2500

Output
* density of states at the Fermi level: 1.14 states/eV/atom
* final energy: -7.86 eV per atom

15.
Compound: AgRu2W
Source: the Alexandria database
Functional: PBE
Structure: optimized geometry

Unit cell a=9.4172 b=9.4172 c=9.4172 alpha=16.96 beta=16.96 gamma=16.96
Element x y z (fractional)
Ag: 0.0000 0.0000 0.0000
Ru: 0.2449 0.2449 0.2449
Ru: 0.7551 0.7551 0.7551
W: 0.5000 0.5000 0.5000

Output
* density of states at the Fermi level: 0.67 states/eV/atom
* final energy: -8.38 eV per atom